Compound: DyTm2Rh
Source: Alexandria
Functional: PBE
Structure: relaxed

The structure in POSCAR format:
```
DyTm2Rh
1.0
-3.175 1.307 -0.411
-1.366 -3.103 0.684
-0.271 1.936 8.248
Dy Tm Rh
1 2 1
Cartesian
-2.406 0.070 4.260
-0.051 0.366 1.559
-0.220 1.570 6.689
-2.271 -0.898 0.136
```

Properties
space group = P4/mmm
total magnetic moment = 0.00 μB/cell
energy of formation = -450 meV per atom
V = 25.35 A^3/atom
raw total energy = -0.209 hartree per atom

Compound: Cd12In16Ag
Source: Alexandria
Functional: PBE
Structure: relaxed

The structure in POSCAR format:
```
Cd12In16Ag
1.0
-4.373 5.445 6.904
-4.842 -8.478 -1.059
9.350 -1.810 2.613
Cd In Ag
12 16 1
Cartesian
-0.836 -1.980 6.503
-2.195 -8.117 1.207
-1.814 3.177 7.667
-2.605 -2.166 0.951
-5.647 -2.790 5.212
-4.416 1.866 6.986
-0.923 -4.556 5.030
-2.519 0.409 2.423
3.180 1.347 7.509
2.888 -7.309 2.559
-4.706 -6.736 2.067
1.795 -3.383 5.809
-5.057 -3.533 2.168
1.778 -1.956 8.757
-3.992 -5.383 4.791
1.444 -4.570 2.836
6.227 -1.240 1.800
-1.950 -4.970 2.181
-0.168 -7.504 3.535
0.027 -0.023 0.039
0.110 0.760 8.261
-1.757 0.735 5.444
-4.932 0.177 4.290
-0.111 -1.735 3.041
1.620 -6.642 6.078
3.809 -2.240 3.693
1.591 -0.204 5.333
-3.851 -1.200 7.183
-2.879 -2.270 4.140
```

Properties
space group = Cm
total magnetic moment = 0.00 μB/cell
energy of formation = 19 meV per atom
V = 25.10 A^3/atom
raw total energy = -0.072 hartree per atom

Compound: Ta2ReBr
Source: Alexandria
Functional: PBE
Structure: relaxed

The structure in POSCAR format:
```
Ta2ReBr
1.0
-0.032 -3.233 2.609
2.117 -3.559 0.333
6.015 0.055 5.673
Re Ta Br
1 2 1
Cartesian
2.025 -1.684 2.154
3.516 -3.025 3.753
0.535 -0.344 0.554
6.075 -5.053 6.461
```

Properties
space group = C2/m
total magnetic moment = 0.00 μB/cell
formation energy without anion corrections = 321 meV per atom
V = 22.29 A^3/atom
raw total energy = -0.336 hartree per atom

Compound: Mg2GeRh
Source: Alexandria
Functional: PBE
Structure: relaxed

The structure in POSCAR format:
```
Mg2GeRh
1.0
9.881 0.000 0.000
0.000 9.881 0.000
4.941 4.941 2.330
Ge Mg Rh
2 4 2
Cartesian
4.941 9.881 1.165
4.941 4.941 0.000
9.875 2.470 0.582
12.351 4.934 1.747
7.411 4.947 1.747
9.887 7.411 0.582
0.000 0.000 0.000
9.881 4.941 1.165
```

Properties
space group = I-42d
total magnetic moment = 0.00 μB/cell
energy of formation = -158 meV per atom
V = 28.43 A^3/atom
raw total energy = -0.145 hartree per atom

Compound: MgCdB2
Source: Alexandria
Functional: PBE
Structure: relaxed

The structure in POSCAR format:
```
MgCdB2
1.0
-1.163 -0.646 3.416
-0.152 -3.589 -0.731
7.971 -3.045 4.105
B Cd Mg
4 2 2
Cartesian
0.956 -1.775 3.923
0.880 -3.570 3.559
4.941 -3.297 5.976
5.523 -2.975 4.268
0.000 0.000 0.000
3.075 -2.904 4.432
3.581 -4.376 2.358
-0.657 -2.118 1.342
```

Properties
space group = I4_1/amd
total magnetic moment = 0.00 μB/cell
energy of formation = 1018 meV per atom
V = 15.30 A^3/atom
raw total energy = -0.108 hartree per atom

Compound: Tb2Nd5Y3
Source: Alexandria
Functional: PBE
Structure: relaxed

The structure in POSCAR format:
```
Tb2Nd5Y3
1.0
8.918 2.122 -4.359
0.658 9.096 -4.404
-2.365 -2.697 10.757
Y Nd Tb
6 10 4
Cartesian
0.426 6.813 5.010
0.201 6.440 -0.851
7.010 2.081 2.845
6.133 5.179 -2.530
6.785 1.707 -3.016
1.078 3.341 4.524
1.590 -0.140 5.981
-0.576 5.608 2.372
2.669 5.212 -3.000
0.678 2.917 0.514
4.542 3.309 4.994
7.788 2.912 -0.378
3.515 2.075 2.291
6.533 5.604 1.479
3.697 6.446 -0.298
5.621 8.660 -3.988
4.283 3.015 -0.867
2.035 8.585 -2.556
5.176 -0.065 4.550
2.928 5.506 2.860
```

Properties
space group = C2/c
total magnetic moment = 0.00 μB/cell
energy of formation = 180 meV per atom
V = 34.38 A^3/atom
raw total energy = -0.186 hartree per atom

Compound: PrCd4Ga
Source: Alexandria
Functional: PBE
Structure: relaxed

The structure in POSCAR format:
```
PrCd4Ga
1.0
-3.427 -1.388 -4.653
0.554 -5.305 -2.622
-4.297 -4.065 0.581
Cd Ga Pr
4 1 1
Cartesian
-4.481 -6.723 -4.183
-2.768 -6.030 -1.858
-4.758 -4.072 -2.873
-2.334 -4.692 -4.474
0.000 0.000 0.000
-1.793 -2.690 -1.673
```

Properties
space group = F-43m
total magnetic moment = 0.00 μB/cell
energy of formation = -98 meV per atom
V = 24.75 A^3/atom
raw total energy = -0.074 hartree per atom

Compound: Na5B7C3
Source: Alexandria
Functional: PBE
Structure: relaxed

The structure in POSCAR format:
```
Na5B7C3
1.0
11.278 0.144 -2.765
10.887 2.948 -2.765
-0.554 -0.077 9.973
C Na B
6 10 14
Cartesian
5.933 0.828 6.639
6.835 0.954 2.060
10.464 1.460 -0.614
19.557 2.729 -4.738
1.983 0.277 9.151
11.066 1.544 5.023
10.779 1.504 2.236
1.814 0.253 6.440
21.587 3.012 4.442
4.221 0.589 2.854
6.589 0.919 -0.643
8.459 1.180 5.747
17.446 2.434 1.534
19.774 2.759 -1.996
15.009 2.094 5.139
13.152 1.835 -1.333
4.666 0.651 5.779
13.457 1.878 1.460
12.409 1.731 5.936
21.508 3.001 1.805
9.133 1.274 -1.522
14.824 2.068 2.386
0.034 0.005 2.614
17.255 2.407 -1.154
15.796 2.204 -2.140
17.690 2.468 4.336
3.858 0.538 0.060
8.149 1.137 2.973
1.451 0.202 3.601
20.058 2.798 0.788
```

Properties
space group = Cm
total magnetic moment = 0.00 μB/cell
energy of formation = 118 meV per atom
V = 10.39 A^3/atom
raw total energy = -0.194 hartree per atom

Compound: ErSe
Source: Alexandria
Functional: PBE
Structure: relaxed

The structure in POSCAR format:
```
ErSe
1.0
4.037 0.000 0.000
2.019 3.496 0.000
2.019 1.165 3.296
Er Se
1 1
Cartesian
0.000 0.000 0.000
4.037 2.331 1.648
```

Properties
space group = Fm-3m
total magnetic moment = 0.00 μB/cell
formation energy without anion corrections = -1688 meV per atom
V = 23.26 A^3/atom
raw total energy = -0.210 hartree per atom

Compound: Pr6Ga2Rh
Source: Alexandria
Functional: PBE
Structure: relaxed

The structure in POSCAR format:
```
Pr6Ga2Rh
1.0
7.361 0.000 0.000
0.000 7.361 0.000
0.000 0.000 11.613
Ga Pr Rh
4 12 2
Cartesian
3.681 3.681 10.065
0.000 0.000 7.354
0.000 0.000 4.258
3.681 3.681 1.548
2.178 2.178 3.825
5.859 1.502 9.631
5.183 5.183 7.788
5.420 5.420 0.000
1.502 5.859 9.631
5.183 5.183 3.825
5.859 1.502 1.982
2.178 2.178 7.788
1.502 5.859 1.982
1.941 1.941 0.000
5.622 1.740 5.806
1.740 5.622 5.806
0.000 0.000 0.000
3.681 3.681 5.806
```

Properties
space group = P4_2/mnm
total magnetic moment = 0.00 μB/cell
energy of formation = -170 meV per atom
V = 34.96 A^3/atom
raw total energy = -0.178 hartree per atom

Compound: AcAu4I
Source: Alexandria
Functional: PBE
Structure: relaxed

The structure in POSCAR format:
```
AcAu4I
1.0
5.866 0.000 0.000
2.933 5.080 0.000
2.933 1.693 4.790
Au I Ac
4 1 1
Cartesian
5.866 3.387 0.595
4.397 4.235 2.995
5.866 1.690 2.995
7.336 4.235 2.995
0.000 0.000 0.000
2.933 1.693 1.197
```

Properties
space group = F-43m
total magnetic moment = 0.00 μB/cell
formation energy without anion corrections = -445 meV per atom
V = 23.79 A^3/atom
raw total energy = -0.131 hartree per atom

Compound: Na2ZnAg
Source: Alexandria
Functional: PBE
Structure: relaxed

The structure in POSCAR format:
```
Na2ZnAg
1.0
-0.057 2.998 1.052
-2.663 1.716 -0.238
-3.825 -1.690 9.404
Na Zn Ag
2 1 1
Cartesian
-3.108 -0.888 7.159
-1.624 0.770 2.516
-3.272 1.513 5.107
-1.814 3.142 0.545
```

Properties
space group = R3m
total magnetic moment = 0.00 μB/cell
energy of formation = 120 meV per atom
V = 22.13 A^3/atom
raw total energy = -0.058 hartree per atom

The lowest V belongs to which entry? Na5B7C3

What is the formula in the ninth record? ErSe

What did the sixth record say?
Compound: Tb2Nd5Y3
Source: Alexandria
Functional: PBE
Structure: relaxed

The structure in POSCAR format:
```
Tb2Nd5Y3
1.0
8.918 2.122 -4.359
0.658 9.096 -4.404
-2.365 -2.697 10.757
Y Nd Tb
6 10 4
Cartesian
0.426 6.813 5.010
0.201 6.440 -0.851
7.010 2.081 2.845
6.133 5.179 -2.530
6.785 1.707 -3.016
1.078 3.341 4.524
1.590 -0.140 5.981
-0.576 5.608 2.372
2.669 5.212 -3.000
0.678 2.917 0.514
4.542 3.309 4.994
7.788 2.912 -0.378
3.515 2.075 2.291
6.533 5.604 1.479
3.697 6.446 -0.298
5.621 8.660 -3.988
4.283 3.015 -0.867
2.035 8.585 -2.556
5.176 -0.065 4.550
2.928 5.506 2.860
```

Properties
space group = C2/c
total magnetic moment = 0.00 μB/cell
energy of formation = 180 meV per atom
V = 34.38 A^3/atom
raw total energy = -0.186 hartree per atom